Pr2YRhO6, relaxed, DFT PBE; D(E_F) = 0.0 states/eV/f.u.; electronic total energy = -8.000 eV/atom; uncorrected formation energy = -2.6881 eV/atom
1.0
5.6883 0.0000 0.0000
0.0000 5.9781 0.0000
-5.4551 0.0000 8.1844
Pr Y Rh O
4 2 2 12
direct
0.2268 0.0621 0.2490 Pr
0.2268 0.4379 0.7490 Pr
0.7732 0.5621 0.2510 Pr
0.7732 0.9379 0.7510 Pr
0.5000 0.0000 0.0000 Y
0.5000 0.5000 0.5000 Y
0.0000 0.0000 0.5000 Rh
0.0000 0.5000 0.0000 Rh
0.1241 0.2064 0.9388 O
0.1241 0.2936 0.4388 O
0.2342 0.6947 0.9397 O
0.2342 0.8053 0.4397 O
0.3580 0.0471 0.7379 O
0.3580 0.4529 0.2379 O
0.6420 0.5471 0.7621 O
0.6420 0.9529 0.2621 O
0.7658 0.1947 0.5603 O
0.7658 0.3053 0.0603 O
0.8759 0.7064 0.5612 O
0.8759 0.7936 0.0612 O